# YFeRe

A geometry-optimized YFeRe structure (PBE, Alexandria via LeMat-Bulk).

E_form = 190.0 meV per atom
Crystal system = tetragonal
Offset from the most stable computed form = 279 meV per atom
DOS at the Fermi energy = 2.482 states/eV/cell
Final energy = -26.8 eV for the cell shown

abc: 6.123 6.123 6.123
angles: 151.41 151.41 40.88
Fractional positions:
Y: 0.000 0.000 0.000
Fe: 0.306 0.306 0.000
Re: 0.701 0.701 0.000